Entry 1:
DFT (PBE) results for an optimized crystal structure of Sr2Pb.

abc: 6.910 6.910 6.910
angles: 107.01 107.01 114.52
Positions (direct):
Sr 0.184 0.316 0.500
Sr 0.816 0.684 0.500
Sr 0.684 0.184 0.868
Sr 0.316 0.816 0.132
Pb 0.750 0.750 0.000
Pb 0.250 0.250 0.000

## Properties
- E_form (eV/atom) = -0.44
- final energy (eV per atom) = -2.797
- crystal system = tetragonal
- total moment (μB/f.u.) = 0.00
- symmetry = I4/mcm, No. 140
- DOS at the Fermi energy (states/eV/cell) = 3.6



Entry 2:
DFT (PBE) results for an optimized crystal structure of Sr3Pb5.

abc: 7.231 7.231 5.110
angles: 90.00 90.00 93.67
Positions (direct):
Sr 0.500 0.500 0.000
Sr 0.770 0.230 0.500
Sr 0.230 0.770 0.500
Pb 0.000 0.000 0.000
Pb 0.500 0.000 0.000
Pb 0.000 0.500 0.000
Pb 0.744 0.744 0.500
Pb 0.256 0.256 0.500

## Properties
- E_form (eV/atom) = -0.40
- final energy (eV per atom) = -3.351
- crystal system = orthorhombic
- total moment (μB/f.u.) = 0.00
- polymorph energy (0 for the lowest one) (meV/atom) = 0
- symmetry = Cmmm, No. 65
- DOS at the Fermi energy (states/eV/cell) = 4.6